No. 1
The following is a PBE calculation of a geometry-optimized LiTb2PPb structure, from Alexandria via LeMat-Bulk.

Space group: No. 11
Size of the total moment: 0.00 μB per cell
Crystal system: monoclinic

Cell lengths 4.069, 7.639, 8.356 Å; angles 107.37, 90.00, 90.00 degrees
Fractional positions:
Li: 0.250 0.548 0.647
Li: 0.750 0.452 0.353
Tb: 0.750 0.876 0.612
Tb: 0.750 0.765 0.018
Tb: 0.250 0.124 0.388
Tb: 0.250 0.235 0.982
P: 0.250 0.854 0.827
P: 0.750 0.146 0.173
Pb: 0.250 0.680 0.295
Pb: 0.750 0.320 0.705


No. 2
The following is a PBE calculation of a geometry-optimized LiY2PPb structure, from Alexandria via LeMat-Bulk.

Energy relative to the lowest polymorph listed for this composition: 0 meV per atom
Space group: No. 11
Size of the total moment: 0.00 μB per cell
Crystal system: monoclinic

Cell lengths 4.061, 7.630, 8.329 Å; angles 107.31, 90.00, 90.00 degrees
Fractional positions:
Li: 0.250 0.547 0.648
Li: 0.750 0.453 0.352
Y: 0.750 0.875 0.613
Y: 0.750 0.766 0.019
Y: 0.250 0.125 0.387
Y: 0.250 0.234 0.981
P: 0.250 0.853 0.827
P: 0.750 0.147 0.173
Pb: 0.250 0.682 0.296
Pb: 0.750 0.318 0.704


No. 3
The following is a PBE calculation of a geometry-optimized LiY2PPb structure, from Alexandria via LeMat-Bulk.

Energy relative to the lowest polymorph listed for this composition: 75 meV per atom
Space group: No. 123
Size of the total moment: 0.00 μB per cell
Crystal system: tetragonal

Cell lengths 5.341, 5.341, 4.566 Å; angles 90.00, 90.00, 90.00 degrees
Fractional positions:
Pb: 0.500 0.500 0.500
Y: 0.000 0.500 0.000
Y: 0.500 0.000 0.000
Li: 0.000 0.000 0.500
P: 0.000 0.000 0.000


No. 4
The following is a PBE calculation of a geometry-optimized Li2PPd structure, from Alexandria via LeMat-Bulk.

Space group: No. 122
Size of the total moment: 0.00 μB per cell
Crystal system: tetragonal

Cell lengths 7.211, 7.211, 5.610 Å; angles 50.01, 50.01, 90.00 degrees
Fractional positions:
P: 0.500 0.500 0.000
P: 0.250 0.750 0.500
Pd: 0.000 0.000 0.000
Pd: 0.750 0.250 0.500
Li: 0.599 0.125 0.250
Li: 0.151 0.625 0.250
Li: 0.375 0.401 0.750
Li: 0.875 0.849 0.750


No. 5
The following is a PBE calculation of a geometry-optimized Li2P2Pd structure, from Alexandria via LeMat-Bulk.

Energy relative to the lowest polymorph listed for this composition: 0 meV per atom
Space group: No. 127
Size of the total moment: 0.00 μB per cell
Crystal system: tetragonal

Cell lengths 6.050, 6.050, 4.100 Å; angles 90.00, 90.00, 90.00 degrees
Fractional positions:
P: 0.371 0.871 0.000
P: 0.871 0.629 0.000
P: 0.629 0.129 0.000
P: 0.129 0.371 0.000
Pd: 0.000 0.000 0.000
Pd: 0.500 0.500 0.000
Li: 0.174 0.674 0.500
Li: 0.674 0.826 0.500
Li: 0.826 0.326 0.500
Li: 0.326 0.174 0.500


No. 6
The following is a PBE calculation of a geometry-optimized Li3PPd structure, from Alexandria via LeMat-Bulk.

Energy relative to the lowest polymorph listed for this composition: 499 meV per atom
Space group: No. 221
Size of the total moment: 0.00 μB per cell
Crystal system: cubic

Cell lengths 4.513, 4.513, 4.513 Å; angles 90.00, 90.00, 90.00 degrees
Fractional positions:
P: 0.000 0.000 0.000
Pd: 0.500 0.500 0.500
Li: 0.000 0.500 0.000
Li: 0.000 0.000 0.500
Li: 0.500 0.000 0.000


No. 7
The following is a PBE calculation of a geometry-optimized LiPPd2 structure, from Alexandria via LeMat-Bulk.

Space group: No. 71
Size of the total moment: 0.00 μB per cell
Crystal system: orthorhombic

Cell lengths 6.087, 6.087, 6.087 Å; angles 49.77, 153.46, 138.70 degrees
Fractional positions:
Li: 0.000 0.000 0.000
P: 0.000 0.500 0.500
Pd: 0.000 0.299 0.299
Pd: 0.000 0.701 0.701


No. 8
The following is a PBE calculation of a geometry-optimized Li3PPd structure, from Alexandria via LeMat-Bulk.

Energy relative to the lowest polymorph listed for this composition: 85 meV per atom
Space group: No. 2
Size of the total moment: 0.00 μB per cell
Crystal system: triclinic

Cell lengths 4.493, 5.166, 6.812 Å; angles 96.60, 108.27, 107.09 degrees
Fractional positions:
Li: 0.590 0.333 0.205
Li: 0.757 0.218 0.611
Li: 0.000 0.000 0.000
Li: 0.410 0.667 0.795
Li: 0.243 0.782 0.389
Li: 0.000 0.500 0.000
P: 0.328 0.148 0.779
P: 0.672 0.852 0.221
Pd: 0.830 0.735 0.575
Pd: 0.170 0.265 0.425


No. 9
The following is a PBE calculation of a geometry-optimized Li4PPd5 structure, from Alexandria via LeMat-Bulk.

Energy relative to the lowest polymorph listed for this composition: 145 meV per atom
Space group: No. 59
Size of the total moment: 0.00 μB per cell
Crystal system: orthorhombic

Cell lengths 5.401, 6.827, 8.693 Å; angles 90.00, 90.00, 90.00 degrees
Fractional positions:
Li: 0.000 0.806 0.000
Li: 0.746 0.000 0.523
Li: 0.254 0.000 0.523
Li: 0.000 0.194 0.000
Li: 0.500 0.306 0.000
Li: 0.754 0.500 0.477
Li: 0.246 0.500 0.477
Li: 0.500 0.694 0.000
P: 0.000 0.000 0.761
P: 0.500 0.500 0.239
Pd: 0.746 0.808 0.265
Pd: 0.254 0.808 0.265
Pd: 0.500 0.000 0.825
Pd: 0.746 0.192 0.265
Pd: 0.254 0.192 0.265
Pd: 0.754 0.308 0.735
Pd: 0.246 0.308 0.735
Pd: 0.000 0.500 0.175
Pd: 0.246 0.692 0.735
Pd: 0.754 0.692 0.735


No. 10
The following is a PBE calculation of a geometry-optimized LiPPd4 structure, from Alexandria via LeMat-Bulk.

Energy relative to the lowest polymorph listed for this composition: 0 meV per atom
Space group: No. 2
Size of the total moment: 0.00 μB per cell
Crystal system: triclinic

Cell lengths 6.386, 5.583, 8.046 Å; angles 118.44, 94.83, 125.52 degrees
Fractional positions:
Li: 0.694 0.592 0.726
Li: 0.306 0.408 0.274
P: 0.338 0.004 0.741
P: 0.662 0.996 0.259
Pd: 0.691 0.063 0.661
Pd: 0.770 0.118 0.028
Pd: 0.877 0.643 0.453
Pd: 0.778 0.649 0.089
Pd: 0.309 0.937 0.339
Pd: 0.123 0.357 0.547
Pd: 0.230 0.882 0.972
Pd: 0.222 0.351 0.911


No. 11
The following is a PBE calculation of a geometry-optimized LiPPd structure, from Alexandria via LeMat-Bulk.

Space group: No. 187
Size of the total moment: 0.00 μB per cell
Crystal system: hexagonal

Cell lengths 2.858, 4.138, 4.138 Å; angles 120.00, 90.00, 90.00 degrees
Fractional positions:
P: 0.166 0.000 0.000
Pd: 0.167 0.667 0.333
Li: 0.667 0.333 0.667


No. 12
The following is a PBE calculation of a geometry-optimized LiPPd2 structure, from Alexandria via LeMat-Bulk.

Space group: No. 166
Size of the total moment: 0.00 μB per cell
Crystal system: trigonal

Cell lengths 2.971, 2.971, 8.708 Å; angles 80.18, 80.18, 60.00 degrees
Fractional positions:
P: 0.500 0.500 0.500
Pd: 0.099 0.099 0.703
Pd: 0.901 0.901 0.297
Li: 0.000 0.000 0.000


no.,electronic total energy (eV per atom),formation energy (eV/atom)
1,-4.895,-0.8365
2,-5.645,-0.8530
3,-5.570,-0.7779
4,-3.927,-0.3196
5,-4.614,-0.6455
6,-3.361,-0.0917
7,-4.634,-0.2062
8,-3.774,-0.5055
9,-4.186,-0.2831
10,-5.146,-0.4636
11,-4.716,-0.5439
12,-4.579,-0.1513